(1)
Below is AcAlNi4P2 after structural relaxation, with properties calculated at the PBE level.

Values from the calculation:
Density of states at the Fermi level = 5.11 states/eV per cell
E_form = -644 meV/atom
E_tot = -5.8687 eV/atom
Space-group type = P4/mmm

Geometry as POSCAR:
```
AcAlNi4P2
1.0
3.874 0.000 0.000
0.000 3.874 0.000
0.000 0.000 8.532
Ni Ac Al P
4 1 1 2
Direct
0.500 0.000 0.831
0.000 0.500 0.169
0.500 0.000 0.169
0.000 0.500 0.831
0.000 0.000 0.500
0.000 0.000 0.000
0.500 0.500 0.705
0.500 0.500 0.295
```

=====

(2)
Below is Ac2Al3NiPd12 after structural relaxation, with properties calculated at the PBE level.

Values from the calculation:
Density of states at the Fermi level = 12.79 states/eV per cell
E_form = -301 meV/atom
E_tot = -5.1642 eV/atom
Space-group type = R-3m

Geometry as POSCAR:
```
Ac2Al3NiPd12
1.0
7.947 -0.132 -0.094
3.810 6.975 -0.094
3.810 2.218 6.614
Pd Al Ac Ni
12 3 2 1
Direct
0.886 0.368 0.368
0.368 0.368 0.886
0.877 0.368 0.877
0.123 0.632 0.123
0.632 0.123 0.123
0.632 0.632 0.114
0.877 0.877 0.368
0.632 0.114 0.632
0.123 0.123 0.632
0.368 0.877 0.877
0.114 0.632 0.632
0.368 0.886 0.368
0.500 0.000 0.000
0.000 0.000 0.500
0.000 0.500 0.000
0.375 0.375 0.375
0.625 0.625 0.625
0.000 0.000 0.000
```

=====

(3)
Below is AcPmAlNi after structural relaxation, with properties calculated at the PBE level.

Values from the calculation:
Density of states at the Fermi level = 3.53 states/eV per cell
E_form = -124 meV/atom
E_tot = -4.7196 eV/atom
Space-group type = F-43m

Geometry as POSCAR:
```
AcPmAlNi
1.0
5.283 0.000 0.000
2.641 4.575 0.000
2.641 1.525 4.313
Al Pm Ni Ac
1 1 1 1
Direct
0.250 0.250 0.250
0.500 0.500 0.500
0.750 0.750 0.750
0.000 0.000 0.000
```

=====

(4)
Below is AcAlNiPt3 after structural relaxation, with properties calculated at the PBE level.

Values from the calculation:
Density of states at the Fermi level = 5.24 states/eV per cell
E_form = -659 meV/atom
E_tot = -5.9511 eV/atom
Space-group type = Cmcm

Geometry as POSCAR:
```
AcAlNiPt3
1.0
5.825 0.000 0.000
0.000 6.914 0.000
0.000 -3.457 5.972
Al Ac Pt Ni
2 2 6 2
Direct
0.750 0.617 0.235
0.250 0.383 0.765
0.250 0.733 0.466
0.750 0.267 0.534
0.000 0.709 0.000
0.250 0.183 0.366
0.500 0.291 0.000
0.000 0.291 0.000
0.750 0.817 0.634
0.500 0.709 0.000
0.250 0.976 0.952
0.750 0.024 0.048
```

=====

(5)
Below is Ac2AlNiPt6 after structural relaxation, with properties calculated at the PBE level.

Values from the calculation:
Density of states at the Fermi level = 4.74 states/eV per cell
E_form = -853 meV/atom
E_tot = -6.2513 eV/atom
Space-group type = C2/m

Geometry as POSCAR:
```
Ac2AlNiPt6
1.0
-2.425 -4.034 -2.895
6.173 -5.325 2.250
-0.544 -5.828 3.303
Pt Ac Ni Al
6 2 1 1
Direct
0.757 0.257 0.988
0.250 0.393 0.500
0.745 0.743 0.012
0.243 0.743 0.012
0.255 0.257 0.988
0.750 0.607 0.500
0.257 0.800 0.485
0.743 0.200 0.515
0.000 0.000 0.000
0.500 0.500 0.000
```

=====

(6)
Below is Ac2Al3NiPt12 after structural relaxation, with properties calculated at the PBE level.

Values from the calculation:
Density of states at the Fermi level = 11.87 states/eV per cell
E_form = -453 meV/atom
E_tot = -5.8821 eV/atom
Space-group type = R-3m

Geometry as POSCAR:
```
Ac2Al3NiPt12
1.0
-0.871 -5.465 5.898
-2.544 -7.479 -1.732
5.101 -6.254 0.532
Pt Ac Al Ni
12 2 3 1
Direct
0.123 0.628 0.628
0.882 0.369 0.882
0.877 0.372 0.372
0.369 0.882 0.882
0.372 0.877 0.372
0.628 0.123 0.628
0.118 0.118 0.631
0.372 0.372 0.877
0.882 0.882 0.369
0.628 0.628 0.123
0.631 0.118 0.118
0.118 0.631 0.118
0.629 0.629 0.629
0.371 0.371 0.371
0.000 0.000 0.500
0.500 0.000 0.000
0.000 0.500 0.000
0.000 0.000 0.000
```

=====

(7)
Below is Ac2AlNi3Pt12 after structural relaxation, with properties calculated at the PBE level.

Values from the calculation:
Density of states at the Fermi level = 16.38 states/eV per cell
E_form = -143 meV/atom
E_tot = -5.7981 eV/atom
Space-group type = R-3m

Geometry as POSCAR:
```
Ac2AlNi3Pt12
1.0
-2.041 7.026 3.337
-6.570 0.479 4.612
0.753 1.026 7.940
Pt Ac Ni Al
12 2 3 1
Direct
0.370 0.880 0.880
0.880 0.370 0.880
0.630 0.120 0.120
0.118 0.633 0.633
0.633 0.118 0.633
0.633 0.633 0.118
0.120 0.120 0.630
0.880 0.880 0.370
0.882 0.367 0.367
0.367 0.367 0.882
0.367 0.882 0.367
0.120 0.630 0.120
0.622 0.622 0.622
0.378 0.378 0.378
0.000 0.000 0.500
0.500 0.000 0.000
0.000 0.500 0.000
0.000 0.000 0.000
```

=====

(8)
Below is AcAlNiRh after structural relaxation, with properties calculated at the PBE level.

Values from the calculation:
Density of states at the Fermi level = 2.12 states/eV per cell
E_form = -646 meV/atom
E_tot = -5.8923 eV/atom
Space-group type = Cm

Geometry as POSCAR:
```
AcAlNiRh
1.0
-2.635 0.272 3.333
4.148 -0.739 0.621
-1.015 5.565 -1.257
Ac Rh Ni Al
1 1 1 1
Direct
0.618 0.237 0.497
0.414 0.827 0.883
0.817 0.634 0.094
0.117 0.234 0.994
```

=====

(9)
Below is Ac2AlNiS6 after structural relaxation, with properties calculated at the PBE level.

Values from the calculation:
Density of states at the Fermi level = 7.83 states/eV per cell
E_tot = -5.5178 eV/atom
Space-group type = Pmmn

Geometry as POSCAR:
```
Ac2AlNiS6
1.0
-1.592 2.059 -6.067
2.245 -5.746 -2.539
-8.460 -3.728 0.956
Ac Ni S Al
4 2 12 2
Direct
0.000 0.241 0.750
0.500 0.759 0.750
0.000 0.241 0.250
0.500 0.759 0.250
0.500 0.248 0.000
0.000 0.752 0.500
0.251 0.008 0.000
0.500 0.227 0.753
0.749 0.008 0.000
0.751 0.992 0.500
0.249 0.992 0.500
0.742 0.499 0.000
0.500 0.227 0.247
0.758 0.501 0.500
0.242 0.501 0.500
0.000 0.773 0.747
0.258 0.499 0.000
0.000 0.773 0.253
0.000 0.738 0.000
0.500 0.262 0.500
```

=====

(10)
Below is Ac2AlSi3Ni4 after structural relaxation, with properties calculated at the PBE level.

Values from the calculation:
Density of states at the Fermi level = 6.41 states/eV per cell
E_tot = -5.7779 eV/atom
Space-group type = P-4m2

Geometry as POSCAR:
```
Ac2AlSi3Ni4
1.0
4.183 0.000 0.000
0.000 4.183 0.000
0.000 0.000 10.024
Si Ac Ni Al
3 2 4 1
Direct
0.500 0.000 0.884
0.000 0.500 0.116
0.000 0.000 0.500
0.000 0.500 0.754
0.500 0.000 0.246
0.500 0.000 0.631
0.000 0.000 0.000
0.500 0.500 0.000
0.000 0.500 0.369
0.500 0.500 0.500
```

=====

(11)
Below is AcAl2SiNi2 after structural relaxation, with properties calculated at the PBE level.

Values from the calculation:
Density of states at the Fermi level = 2.93 states/eV per cell
E_tot = -5.1541 eV/atom
Space-group type = P4/mmm

Geometry as POSCAR:
```
AcAl2SiNi2
1.0
4.351 0.000 0.000
0.000 4.351 0.000
0.000 0.000 5.962
Al Ni Si Ac
2 2 1 1
Direct
0.500 0.500 0.236
0.500 0.500 0.764
0.500 0.000 0.000
0.000 0.500 0.000
0.000 0.000 0.000
0.000 0.000 0.500
```

=====

(12)
Below is AcAlSi2Ni2 after structural relaxation, with properties calculated at the PBE level.

Values from the calculation:
Density of states at the Fermi level = 2.31 states/eV per cell
E_tot = -5.7015 eV/atom
Space-group type = P-3m1

Geometry as POSCAR:
```
AcAlSi2Ni2
1.0
-0.276 -3.618 -1.801
3.628 1.476 1.035
-0.557 -3.208 6.532
Si Ni Al Ac
2 2 1 1
Direct
0.667 0.333 0.297
0.333 0.667 0.703
0.667 0.333 0.624
0.333 0.667 0.376
0.000 0.000 0.500
0.000 0.000 0.000
```